YHN2O, optimized geometry, DFT PBE-GGA; electronic total energy = -5.29 eV per atom
1.0
4.893 0.000 0.000
0.000 4.893 0.000
0.000 0.000 4.259
Y H N O
1 1 2 1
Cartesian
0.000 0.000 0.000 Y
2.447 2.447 2.129 H
0.000 2.447 0.000 N
2.447 0.000 0.000 N
0.000 0.000 2.129 O



YHN2O, optimized geometry, DFT PBE-GGA; electronic total energy = -6.18 eV per atom
1.0
3.164 0.000 0.000
0.000 3.164 0.000
0.000 0.000 4.719
Y H N O
1 1 2 1
Cartesian
0.000 0.000 0.000 Y
1.582 1.582 2.359 H
0.000 1.582 2.359 N
1.582 0.000 2.359 N
1.582 1.582 0.000 O



YHNO2, optimized geometry, DFT PBE-GGA; electronic total energy = -5.43 eV per atom
1.0
3.538 0.000 0.000
0.000 3.538 0.000
0.000 0.000 4.452
Y H N O
1 1 1 2
Cartesian
0.000 0.000 0.000 Y
1.769 1.769 0.000 H
0.000 0.000 2.226 N
0.000 1.769 2.226 O
1.769 0.000 2.226 O



YHNO2, optimized geometry, DFT PBE-GGA; electronic total energy = -6.09 eV per atom
1.0
3.818 0.000 0.000
0.000 3.818 0.000
0.000 0.000 3.030
Y H N O
1 1 1 2
Cartesian
0.000 0.000 0.000 Y
1.909 1.909 1.515 H
1.909 1.909 0.000 N
0.000 1.909 1.515 O
1.909 0.000 1.515 O



YHNO2, optimized geometry, DFT PBE-GGA; electronic total energy = -5.41 eV per atom
1.0
4.405 0.000 0.000
0.000 4.405 0.000
0.000 0.000 4.952
Y H N O
1 1 1 2
Cartesian
0.000 0.000 0.000 Y
2.203 2.203 2.476 H
0.000 0.000 2.476 N
0.000 2.203 0.000 O
2.203 0.000 0.000 O



ZrHNO2, optimized geometry, DFT PBE-GGA; electronic total energy = -6.29 eV per atom
1.0
4.131 0.000 0.000
0.000 4.131 0.000
0.000 0.000 4.603
Zr H N O
1 1 1 2
Cartesian
0.000 0.000 0.000 Zr
2.065 2.065 2.302 H
0.000 0.000 2.302 N
0.000 2.065 0.000 O
2.065 0.000 0.000 O



ZrHN2O, optimized geometry, DFT PBE-GGA; electronic total energy = -6.10 eV per atom
1.0
4.493 0.000 0.000
0.000 4.493 0.000
0.000 0.000 4.066
Zr H N O
1 1 2 1
Cartesian
0.000 0.000 0.000 Zr
2.246 2.246 2.033 H
0.000 2.246 0.000 N
2.246 0.000 0.000 N
0.000 0.000 2.033 O



ZrHNO2, optimized geometry, DFT PBE-GGA; electronic total energy = -6.47 eV per atom
1.0
3.443 0.000 0.000
0.000 3.443 0.000
0.000 0.000 3.337
Zr H N O
1 1 1 2
Cartesian
0.000 0.000 0.000 Zr
1.721 1.721 1.668 H
1.721 1.721 0.000 N
0.000 1.721 1.668 O
1.721 0.000 1.668 O



Zr6HNO, optimized geometry, DFT PBE-GGA; electronic total energy = -8.63 eV per atom
1.0
5.421 0.000 0.000
0.000 5.421 0.000
0.000 0.000 10.076
Zr H N O
12 2 2 2
Cartesian
1.131 1.131 0.000 Zr
1.150 1.150 3.537 Zr
1.148 1.148 6.842 Zr
1.562 3.858 1.803 Zr
1.560 3.861 8.576 Zr
1.579 3.841 5.038 Zr
3.841 1.579 5.038 Zr
3.858 1.562 1.803 Zr
3.861 1.560 8.576 Zr
4.270 4.270 3.537 Zr
4.273 4.273 6.842 Zr
4.290 4.290 0.000 Zr
0.000 0.000 1.797 H
2.710 2.710 6.835 H
0.000 0.000 8.441 N
2.710 2.710 3.403 N
0.000 0.000 5.189 O
2.710 2.710 0.151 O



Zr6H2NO, optimized geometry, DFT PBE-GGA; electronic total energy = -8.15 eV per atom
1.0
5.708 0.000 0.000
2.835 4.954 0.000
2.835 1.642 5.224
Zr H N O
6 2 1 1
Cartesian
0.000 0.000 0.000 Zr
3.689 3.329 2.610 Zr
2.802 1.511 0.004 Zr
6.516 4.838 2.619 Zr
5.556 3.275 0.013 Zr
6.664 1.580 2.606 Zr
4.659 4.890 3.972 H
4.677 1.594 1.353 H
4.671 4.899 1.296 N
7.524 3.244 3.909 O



ZrHN2O, optimized geometry, DFT PBE-GGA; electronic total energy = -6.68 eV per atom
1.0
3.077 0.000 0.000
0.000 3.077 0.000
0.000 0.000 4.300
Zr H N O
1 1 2 1
Cartesian
0.000 0.000 0.000 Zr
1.538 1.538 2.150 H
0.000 1.538 2.150 N
1.538 0.000 2.150 N
1.538 1.538 0.000 O



ZrHN2O, optimized geometry, DFT PBE-GGA; electronic total energy = -6.33 eV per atom
1.0
3.895 0.000 0.000
0.000 3.895 0.000
0.000 0.000 2.816
Zr H N O
1 1 2 1
Cartesian
0.000 0.000 0.000 Zr
1.948 1.948 0.000 H
0.000 1.948 1.408 N
1.948 0.000 1.408 N
1.948 1.948 1.408 O



HOsN2, optimized geometry, DFT PBE-GGA; ΔE to the lowest computed polymorph = 1179.4 meV/atom
1.0
1.400 0.809 5.099
-1.400 0.809 5.099
0.000 -1.617 5.099
H Os N
1 1 2
Cartesian
0.000 0.000 0.000 H
0.000 0.000 7.649 Os
0.000 0.000 5.784 N
0.000 0.000 9.514 N



HOs2N, optimized geometry, DFT PBE-GGA; ΔE to the lowest computed polymorph = 0.0 meV/atom
1.0
-2.056 2.056 5.006
2.056 -2.056 5.006
2.056 2.056 -5.006
H Os N
2 4 2
Cartesian
0.000 0.000 0.000 H
0.000 2.056 2.503 H
3.084 0.968 -1.252 Os
0.968 1.028 1.252 Os
-1.028 1.088 3.755 Os
1.088 1.028 6.258 Os
2.056 0.000 2.503 N
0.000 0.000 5.006 N



HOsN, optimized geometry, DFT PBE-GGA; electronic total energy = -6.99 eV per atom
1.0
1.324 -2.511 0.000
1.324 2.511 0.000
0.000 0.000 3.897
H Os N
1 1 1
Cartesian
0.000 0.000 0.000 H
1.324 0.000 1.949 Os
1.324 0.000 0.000 N



HOsN2, optimized geometry, DFT PBE-GGA; ΔE to the lowest computed polymorph = 490.6 meV/atom
1.0
-2.144 2.144 4.281
2.144 -2.144 4.281
2.144 2.144 -4.281
H Os N
2 2 4
Cartesian
0.000 0.000 0.000 H
0.000 2.144 2.140 H
2.144 0.000 2.140 Os
0.000 0.000 4.281 Os
3.215 0.993 -1.070 N
0.993 1.072 1.070 N
-1.072 1.150 3.210 N
1.150 1.072 5.351 N



HOs2N, optimized geometry, DFT PBE-GGA; ΔE to the lowest computed polymorph = 803.9 meV/atom
1.0
0.000 2.691 2.691
2.691 0.000 2.691
2.691 2.691 0.000
H Os N
1 2 1
Cartesian
0.000 0.000 0.000 H
1.346 1.346 1.346 Os
4.037 4.037 4.037 Os
2.691 2.691 2.691 N



HOsN2, optimized geometry, DFT PBE-GGA; ΔE to the lowest computed polymorph = 916.1 meV/atom
1.0
0.000 2.475 2.475
2.475 0.000 2.475
2.475 2.475 0.000
H Os N
1 1 2
Cartesian
0.000 0.000 0.000 H
2.475 2.475 2.475 Os
1.237 1.237 1.237 N
3.712 3.712 3.712 N



HOsN2, optimized geometry, DFT PBE-GGA; ΔE to the lowest computed polymorph = 0.0 meV/atom
1.0
1.491 0.861 4.790
-1.491 0.861 4.790
0.000 -1.722 4.790
H Os N
1 1 2
Cartesian
0.000 0.000 0.000 H
0.000 0.000 7.186 Os
0.000 0.000 1.268 N
0.000 0.000 13.104 N



HOs3N, optimized geometry, DFT PBE-GGA; ΔE to the lowest computed polymorph = 0.0 meV/atom
1.0
3.985 0.000 0.000
0.000 3.985 0.000
0.000 0.000 3.985
H Os N
1 3 1
Cartesian
0.000 0.000 0.000 H
0.000 1.993 1.993 Os
1.993 0.000 1.993 Os
1.993 1.993 0.000 Os
1.993 1.993 1.993 N



H3OsN, optimized geometry, DFT PBE-GGA; ΔE to the lowest computed polymorph = 0.0 meV/atom
1.0
3.358 0.000 0.000
0.000 3.358 0.000
0.000 0.000 3.358
H Os N
3 1 1
Cartesian
0.000 0.000 1.679 H
0.000 1.679 0.000 H
1.679 0.000 0.000 H
0.000 0.000 0.000 Os
1.679 1.679 1.679 N



H3OsN, optimized geometry, DFT PBE-GGA; ΔE to the lowest computed polymorph = 139.3 meV/atom
1.0
3.136 0.000 0.000
0.000 3.136 0.000
0.000 0.000 3.136
H Os N
3 1 1
Cartesian
0.000 0.000 1.568 H
0.000 1.568 0.000 H
1.568 0.000 0.000 H
1.568 1.568 1.568 Os
0.000 0.000 0.000 N



TcPHOsSN, optimized geometry, DFT PBE-GGA; ΔE to the lowest computed polymorph = 0.0 meV/atom
1.0
4.073 -1.483 0.000
4.073 1.483 0.000
-1.050 0.000 5.667
Tc P H Os S N
1 1 1 1 1 1
Cartesian
0.000 0.000 0.000 Tc
7.110 0.000 3.224 P
1.875 0.000 5.124 H
4.732 0.000 3.736 Os
5.159 0.000 1.402 S
6.813 0.000 1.498 N



TcPHOsSN, optimized geometry, DFT PBE-GGA; ΔE to the lowest computed polymorph = 8.7 meV/atom
1.0
2.990 0.000 0.000
1.482 4.081 0.000
1.491 1.756 5.639
Tc P H Os S N
1 1 1 1 1 1
Cartesian
0.000 0.000 0.000 Tc
2.988 1.164 3.258 P
2.977 3.984 5.389 H
2.971 3.511 3.720 Os
2.974 3.097 1.434 S
2.985 1.410 1.487 N



TcPHOsSN, optimized geometry, DFT PBE-GGA; ΔE to the lowest computed polymorph = 259.7 meV/atom
1.0
2.966 0.000 0.000
-1.466 4.853 0.000
-1.473 -0.730 5.242
Tc P H Os S N
1 1 1 1 1 1
Cartesian
0.000 0.000 0.000 Tc
0.014 0.170 3.676 P
0.032 1.649 0.655 H
-1.478 1.974 4.347 Os
-1.472 2.707 2.268 S
-1.457 4.357 2.094 N



TcPHOsSN, optimized geometry, DFT PBE-GGA; ΔE to the lowest computed polymorph = 81.3 meV/atom
1.0
3.962 -1.505 0.000
3.962 1.505 0.000
-1.068 0.000 6.050
Tc P H Os S N
1 1 1 1 1 1
Cartesian
0.000 0.000 0.000 Tc
6.683 0.000 3.473 P
4.386 0.000 2.560 H
4.380 0.000 4.160 Os
5.523 0.000 0.595 S
6.690 0.000 1.706 N



TcPHOsSN, optimized geometry, DFT PBE-GGA; ΔE to the lowest computed polymorph = 128.8 meV/atom
1.0
2.920 0.000 0.000
-1.450 4.971 0.000
-0.014 -1.537 5.156
Tc P H Os S N
1 1 1 1 1 1
Cartesian
0.000 0.000 0.000 Tc
1.454 1.202 1.496 P
1.473 1.142 3.910 H
-0.016 3.030 1.232 Os
-0.010 3.848 3.321 S
1.454 0.544 3.057 N



Record-wise theoretical density values, in g/cm3: 2.181 4.707 4.050 5.111 2.349 2.923 2.757 5.804 6.487 6.512 5.558 5.295 10.509 15.518 13.150 9.255 16.841 12.013 9.868 15.365 9.088 11.159 8.883 8.841 8.062 8.433 8.126